This record from Alexandria describes a relaxed TlInS3 crystal. The functional is GGA-PBE.

Output
Space group: Pm-3m
DOS(E_F) in states/eV per atom: 1.1086
Relative energy among the computed polymorphs in meV per atom: 390
E_tot in hartree per atom: -0.1239
Magnetization in μB per cell: 0.0

Cell and atoms, written as CIF:
```
data_TlInS3
_symmetry_space_group_name_H-M 'P 1'
_symmetry_Int_Tables_number 1
_cell_length_a 5.116
_cell_length_b 5.116
_cell_length_c 5.116
_cell_angle_alpha 90.00
_cell_angle_beta 90.00
_cell_angle_gamma 90.00
loop_
_symmetry_equiv_pos_as_xyz
'x,y,z'
loop_
_atom_site_label
_atom_site_type_symbol
_atom_site_fract_x
_atom_site_fract_y
_atom_site_fract_z
Tl1 Tl 0.000 0.000 0.000
In1 In 0.500 0.500 0.500
S1 S 0.000 0.500 0.500
S2 S 0.500 0.000 0.500
S3 S 0.500 0.500 0.000
```